No. 1
## AgHgPbSe2 (GGA-PBE)

Data for a relaxed AgHgPbSe2 crystal.

The value obtained for the formation energy from raw total energies is 1.44 eV/f.u. The crystal system is tetragonal.

The structure belongs to space group P4/mmm (No. 123); the cell edges are 5.096, 5.096 and 5.733 Å and the angles 90.00°, 90.00° and 90.00°. The inequivalent atoms are Ag at (0.000, 0.000, 0.000), Hg at (0.500, 0.500, 0.500), Pb at (0.000, 0.000, 0.500) and Se at (0.000, 0.500, 0.000).

No. 2
## MoH2I (GGA-PBE)

Data for a relaxed MoH2I crystal.

The crystal system is tetragonal.

The structure belongs to space group I-42d (No. 122); the cell edges are 5.947, 5.947 and 5.947 Å and the angles 90.00°, 90.00° and 90.00°. The inequivalent atoms are Mo at (0.000, 0.000, 0.000), H at (0.123, 0.250, 0.125) and I at (0.000, 0.000, 0.500).

No. 3
## BaZnReIr2 (GGA-PBE)

Data for a relaxed BaZnReIr2 crystal.

The crystal system is tetragonal.

The structure belongs to space group P4/mmm (No. 123); the cell edges are 4.694, 4.694 and 5.207 Å and the angles 90.00°, 90.00° and 90.00°. The inequivalent atoms are Ba at (0.000, 0.000, 0.000), Zn at (0.000, 0.000, 0.500), Re at (0.500, 0.500, 0.000) and Ir at (0.000, 0.500, 0.500).

No. 4
## PmAlTe3 (GGA-PBE)

Data for a relaxed PmAlTe3 crystal.

The value obtained for the formation energy from raw total energies is -4.52 eV/f.u. The crystal system is orthorhombic.

The structure belongs to space group Pna2_1 (No. 33); the cell edges are 7.863, 7.556 and 11.163 Å and the angles 90.00°, 90.00° and 90.00°. The inequivalent atoms are Pm at (0.113, 0.085, 0.000), Al at (0.212, 0.646, 0.145), Te at (0.058, 0.311, 0.501), Te at (0.180, 0.827, 0.687) and Te at (0.203, 0.853, 0.331).

No. 5
## BaLi2La (GGA-PBE)

Data for a relaxed BaLi2La crystal.

The crystal system is monoclinic.

The structure belongs to space group C2/m (No. 12); the cell edges are 11.407, 3.702 and 6.831 Å and the angles 90.00°, 98.86° and 90.00°. The inequivalent atoms are Ba at (0.000, 0.000, 0.000), Li at (0.245, 0.000, 0.708) and La at (0.000, 0.500, 0.500).

No. 6
## Y2Ge2F (GGA-PBE)

Data for a relaxed Y2Ge2F crystal.

The value obtained for the formation energy from raw total energies is -7.28 eV/f.u. The crystal system is tetragonal.

The structure belongs to space group P4/mbm (No. 127); the cell edges are 7.059, 7.059 and 4.295 Å and the angles 90.00°, 90.00° and 90.00°. The inequivalent atoms are Y at (0.180, 0.320, 0.000), Ge at (0.122, 0.622, 0.500) and F at (0.000, 0.000, 0.000).

No. 7
## SrMnFe2Sb (GGA-PBE)

Data for a relaxed SrMnFe2Sb crystal.

The value obtained for the formation energy from raw total energies is 4.57 eV/f.u. The crystal system is tetragonal.

The structure belongs to space group P4/mmm (No. 123); the cell edges are 4.514, 4.514 and 5.434 Å and the angles 90.00°, 90.00° and 90.00°. The inequivalent atoms are Sr at (0.000, 0.000, 0.000), Mn at (0.000, 0.000, 0.500), Fe at (0.000, 0.500, 0.500) and Sb at (0.500, 0.500, 0.000).

No. 8
## Ca3Ti8S16 (GGA-PBE)

Data for a relaxed Ca3Ti8S16 crystal.

The value obtained for the formation energy from raw total energies is -41.12 eV/f.u. The crystal system is monoclinic.

The structure belongs to space group C2/m (No. 12); the cell edges are 11.921, 6.995 and 13.633 Å and the angles 90.00°, 91.05° and 90.00°. The inequivalent atoms are Ca at (0.000, 0.000, 0.000), Ca at (0.250, 0.250, 0.500), Ti at (0.004, 0.000, 0.746), Ti at (0.006, 0.500, 0.750), Ti at (0.245, 0.255, 0.753), S at (0.080, 0.250, 0.149), S at (0.081, 0.251, 0.641), S at (0.168, 0.500, 0.857), S at (0.169, 0.000, 0.856), S at (0.170, 0.000, 0.357) and S at (0.170, 0.500, 0.355).

No. 9
## DyZrNi2 (GGA-PBE)

Data for a relaxed DyZrNi2 crystal.

The crystal system is tetragonal.

The structure belongs to space group P4/mmm (No. 123); the cell edges are 3.293, 3.293 and 6.664 Å and the angles 90.00°, 90.00° and 90.00°. The inequivalent atoms are Dy at (0.000, 0.000, 0.000), Zr at (0.000, 0.000, 0.500) and Ni at (0.500, 0.500, 0.287).

No. 10
## Pm2ScBePd6 (GGA-PBE)

Data for a relaxed Pm2ScBePd6 crystal.

The crystal system is monoclinic.

The structure belongs to space group C2/m (No. 12); the cell edges are 10.227, 5.911 and 7.372 Å and the angles 90.00°, 117.35° and 90.00°. The inequivalent atoms are Pm at (0.240, 0.000, 0.218), Sc at (0.000, 0.500, 0.000), Be at (0.000, 0.000, 0.500), Pd at (0.025, 0.260, 0.313) and Pd at (0.235, 0.000, 0.691).

No. 11
## Sb3P (GGA-PBE)

Data for a relaxed Sb3P crystal.

The value obtained for the formation energy from raw total energies is 1.20 eV/f.u. The crystal system is orthorhombic.

The structure belongs to space group Imm2 (No. 44); the cell edges are 3.544, 11.577 and 4.939 Å and the angles 90.00°, 90.00° and 90.00°. The inequivalent atoms are Sb at (0.000, 0.000, 0.000), Sb at (0.000, 0.188, 0.508) and P at (0.000, 0.500, 0.976).

No. 12
## FeCuTc2 (GGA-PBE)

Data for a relaxed FeCuTc2 crystal.

The crystal system is orthorhombic.

The structure belongs to space group Cmmm (No. 65); the cell edges are 3.133, 4.044 and 8.480 Å and the angles 90.00°, 90.00° and 90.00°. The inequivalent atoms are Fe at (0.000, 0.000, 0.000), Cu at (0.000, 0.000, 0.500) and Tc at (0.000, 0.500, 0.245).

V: 149; 210; 115; 663; 285; 214; 111; 1137; 72; 396; 203; 107 (Å³/cell)
DFT total energy: -2.477; -4.170; -4.901; -4.488; -2.450; -6.264; -5.466; -6.530; -6.557; -5.685; -4.144; -8.122 (eV per atom)